1.
Below is a relaxed Si3TcS crystal, with properties calculated at the GGA-PBE level.

Structure (POSCAR):
```
Si3TcS
1.0
-0.241 -4.282 1.768
3.244 -1.420 -2.997
3.308 1.081 3.068
S Si Tc
1 3 1
Direct
0.500 0.500 0.500
0.000 0.500 0.000
0.000 0.000 0.500
0.500 0.000 0.000
0.000 0.000 0.000
```

Values from the calculation:
Magnetization: 0.0 Bohr magnetons per cell
Symmetry: Pm-3m
Energy above the most stable polymorph in this dataset: 0.0000 eV/atom


2.
Below is a relaxed SiTcS2 crystal, with properties calculated at the GGA-PBE level.

Structure (POSCAR):
```
SiTcS2
1.0
-3.416 -3.134 2.410
3.257 -4.036 -0.633
2.190 -2.483 5.539
S Tc Si
4 2 2
Direct
0.375 0.378 0.750
0.875 0.872 0.750
0.622 0.125 0.250
0.128 0.625 0.250
0.750 0.250 0.500
0.000 0.000 0.000
0.250 0.750 0.500
0.500 0.500 0.000
```

Values from the calculation:
E: -47.265 eV for the cell shown
Magnetization: 0.0 Bohr magnetons per cell
Symmetry: I-42d


3.
Below is a relaxed Si2TcS crystal, with properties calculated at the GGA-PBE level.

Structure (POSCAR):
```
Si2TcS
1.0
5.649 0.000 0.000
0.000 5.649 0.000
2.825 2.825 4.877
Tc Si S
2 4 2
Direct
0.000 0.000 0.000
0.750 0.250 0.500
0.875 0.878 0.750
0.628 0.125 0.250
0.375 0.372 0.750
0.122 0.625 0.250
0.250 0.750 0.500
0.500 0.500 0.000
```

Values from the calculation:
E: -48.121 eV for the cell shown
Magnetization: 0.0 Bohr magnetons per cell
Symmetry: I-42d


4.
Below is a relaxed SiTcS2 crystal, with properties calculated at the GGA-PBE level.

Structure (POSCAR):
```
SiTcS2
1.0
1.836 0.000 7.313
-0.918 1.590 7.313
-0.918 -1.590 7.313
Tc S Si
1 2 1
Direct
0.000 0.000 0.000
0.104 0.104 0.104
0.896 0.896 0.896
0.500 0.500 0.500
```

Values from the calculation:
E: -23.581 eV for the cell shown
Magnetization: 0.0 Bohr magnetons per cell
Symmetry: R-3m


5.
Below is a relaxed SiTeS2 crystal, with properties calculated at the GGA-PBE level.

Structure (POSCAR):
```
SiTeS2
1.0
-4.838 -2.302 4.255
-3.899 -1.708 -5.357
-2.721 -5.579 -0.611
S Si Te
4 2 2
Direct
0.875 0.780 0.750
0.530 0.125 0.250
0.375 0.470 0.750
0.220 0.625 0.250
0.500 0.500 0.000
0.250 0.750 0.500
0.000 0.000 0.000
0.750 0.250 0.500
```

Values from the calculation:
Magnetization: 0.0 Bohr magnetons per cell
Symmetry: I-42d
Energy above the most stable polymorph in this dataset: 0.5942 eV/atom


6.
Below is a relaxed SiTeS2 crystal, with properties calculated at the GGA-PBE level.

Structure (POSCAR):
```
SiTeS2
1.0
1.548 -4.389 0.919
-1.974 -3.718 -2.187
2.444 -2.390 -3.289
Si Te S
1 1 2
Direct
0.000 0.000 0.000
0.500 0.500 0.500
0.750 0.750 0.750
0.250 0.250 0.250
```

Values from the calculation:
Magnetization: 0.0 Bohr magnetons per cell
Symmetry: Fm-3m
Energy above the most stable polymorph in this dataset: 0.8975 eV/atom


7.
Below is a relaxed SiTe2S crystal, with properties calculated at the GGA-PBE level.

Structure (POSCAR):
```
SiTe2S
1.0
-7.038 -6.790 -1.819
-4.315 -8.749 -1.945
-5.748 -8.055 1.010
Te S Si
2 1 1
Direct
0.906 0.906 0.906
0.094 0.094 0.094
0.500 0.500 0.500
0.000 0.000 0.000
```

Values from the calculation:
Magnetization: 0.0 Bohr magnetons per cell
Symmetry: R-3m
Energy above the most stable polymorph in this dataset: 0.3310 eV/atom


8.
Below is a relaxed SiTeS2 crystal, with properties calculated at the GGA-PBE level.

Structure (POSCAR):
```
SiTeS2
1.0
1.882 0.000 12.142
-0.941 1.630 12.142
-0.941 -1.630 12.142
S Si Te
2 1 1
Direct
0.130 0.130 0.130
0.870 0.870 0.870
0.500 0.500 0.500
0.000 0.000 0.000
```

Values from the calculation:
Magnetization: 0.0 Bohr magnetons per cell
Symmetry: R-3m
Energy above the most stable polymorph in this dataset: 0.0579 eV/atom